# GGA-PBE KGeB, optimized geometry
# * mass density: 2.93 g/cm³
data_KGeB
_chemical_formula_sum 'K4 Ge4 B4'
_symmetry_space_group_name_H-M 'C m m m'
_symmetry_Int_Tables_number 65
_symmetry_space_group_name_Hall '-C 2 2'
_cell_length_a 5.501
_cell_length_b 10.454
_cell_length_c 4.836
_cell_angle_alpha 90.00
_cell_angle_beta 90.00
_cell_angle_gamma 90.00
loop_
_atom_site_label
_atom_site_fract_x
_atom_site_fract_y
_atom_site_fract_z
K1 0.000 0.156 0.000
Ge1 0.000 0.373 0.500
B1 0.000 0.500 0.165


# GGA-PBE KGeB, optimized geometry
# * mass density: 2.75 g/cm³
data_KGeB
_chemical_formula_sum 'K4 Ge4 B4'
_symmetry_space_group_name_H-M 'P n m a'
_symmetry_Int_Tables_number 62
_symmetry_space_group_name_Hall '-P 2ac 2n'
_cell_length_a 14.253
_cell_length_b 3.256
_cell_length_c 6.383
_cell_angle_alpha 90.00
_cell_angle_beta 90.00
_cell_angle_gamma 90.00
loop_
_atom_site_label
_atom_site_fract_x
_atom_site_fract_y
_atom_site_fract_z
K1 0.140 0.250 0.149
Ge1 0.121 0.750 0.660
B1 0.000 0.000 0.500


# GGA-PBE KGeB, optimized geometry
# * mass density: 2.20 g/cm³
data_KGeB
_chemical_formula_sum 'K8 Ge8 B8'
_symmetry_space_group_name_H-M 'I 4/m m m'
_symmetry_Int_Tables_number 139
_symmetry_space_group_name_Hall '-I 4 2'
_cell_length_a 10.533
_cell_length_b 10.533
_cell_length_c 6.680
_cell_angle_alpha 90.00
_cell_angle_beta 90.00
_cell_angle_gamma 90.00
loop_
_atom_site_label
_atom_site_fract_x
_atom_site_fract_y
_atom_site_fract_z
K1 0.000 0.287 0.000
Ge1 0.000 0.257 0.500
B1 0.082 0.082 0.500


# GGA-PBE KGeB, optimized geometry
# * mass density: 2.36 g/cm³
data_KGeB
_chemical_formula_sum 'K2 Ge2 B2'
_symmetry_space_group_name_H-M 'P 1'
_symmetry_Int_Tables_number 1
_symmetry_space_group_name_Hall 'P 1'
_cell_length_a 5.126
_cell_length_b 5.416
_cell_length_c 6.625
_cell_angle_alpha 107.00
_cell_angle_beta 95.28
_cell_angle_gamma 97.64
loop_
_atom_site_label
_atom_site_fract_x
_atom_site_fract_y
_atom_site_fract_z
K1 0.000 0.000 0.000
K2 0.461 0.321 0.565
Ge1 0.455 0.674 0.172
Ge2 0.894 0.831 0.468
B1 0.093 0.579 0.262
B2 0.783 0.513 0.183


Formation enthalpy at 0 K: 0.164 0.283 0.315 0.276 (eV/atom)
Uncorrected energy: -3.97 -3.85 -3.82 -3.85 (eV per atom)